Material: PmSc2Au
Method: DFT, PBE-GGA
State: relaxed

For the magnetic moment, the calculation gives 0.089 Bohr magnetons per cell. As for the total energy: -5.4339 eV per atom. Its calculated formation energy is -0.261 eV/atom. The energy above the lowest structure with this stoichiometry comes out at 64 kJ/mol of formula units. The theoretical density comes out at 7.557 Mg/m³.

The space group is P4/mmm (No. 123) and the conventional cell measures 4.512, 4.512 and 4.661 Å, with angles of 90.00, 90.00 and 90.00 degrees. The asymmetric unit holds Pm at (0.000, 0.000, 0.000), Sc at (0.000, 0.500, 0.500) and Au at (0.500, 0.500, 0.000).